VASP calculation (PBE with a Hubbard U) on ZnMoPO2 after structural relaxation.

The distance to the lowest polymorph of the same formula comes out at 0.0000 eV/atom. The magnetization comes out at 0.9 μB/f.u.

The space group is P4/mmm (No. 123) and the conventional cell measures 3.8202, 3.8202 and 5.2834 Å, with angles of 90.00, 90.00 and 90.00 degrees. Symmetry generates all atoms from Zn at (0.0000, 0.0000, 0.0000), Mo at (0.5000, 0.5000, 0.5000), P at (0.5000, 0.5000, 0.0000) and O at (0.0000, 0.5000, 0.5000).